# SmTl2V3F12 GGA+U optimized geometry
# Electronic total energy = -104.9 eV per formula unit
data_SmTl2V3F12
_chemical_formula_sum 'Sm3 Tl6 V9 F36'
_space_group_name_H-M_alt 'R -3 m'
_space_group_IT_number 166
_space_group_name_Hall '-R 3 2"'
_cell_length_a 7.7593
_cell_length_b 7.7593
_cell_length_c 17.8450
_cell_angle_alpha 90.00
_cell_angle_beta 90.00
_cell_angle_gamma 120.00
loop_
_atom_site_label
_atom_site_type_symbol
_atom_site_fract_x
_atom_site_fract_y
_atom_site_fract_z
Sm1 Sm 0.0000 0.0000 0.0000
Tl1 Tl 0.0000 0.0000 0.3787
V1 V 0.0000 0.5000 0.5000
F1 F 0.0179 0.5090 0.6158
F2 F 0.0765 0.5382 0.8298